Entry 1:
Pm2ErTl3S6: optimized geometry, PBE.

Fermi-level density of states = 0.00 states/eV/cell
uncorrected formation energy = -1471 meV/atom
theoretical density = 6.4 g/cm3
magnetization = 0.00 μB/cell
volume = 327.7 Å³ per cell

a b c (Å): 7.0991 7.0991 7.8720
angles (deg): 98.64 98.64 119.99
Last column: nearest neighbours and their distance in Å.
Sites, in units of the cell vectors:
Pm 0.1667 0.8333 0.0000  6 S 2.83-2.84
Pm 0.8333 0.1667 0.0000  6 S 2.83-2.84
Er 0.5000 0.5000 0.0000  6 S 2.75-2.76
Tl 0.0000 0.0000 0.5000  6 S 3.24-3.30
Tl 0.3324 0.6676 0.5000  6 S 3.24-3.31
Tl 0.6676 0.3324 0.5000  6 S 3.24-3.31
S 0.1092 0.4333 0.8001  1 Er 2.75, 2 Pm 2.83
S 0.2430 0.2430 0.2019  1 Er 2.76, 2 Pm 2.84
S 0.4333 0.1092 0.8001  1 Er 2.75, 2 Pm 2.83
S 0.5667 0.8908 0.1999  1 Er 2.75, 2 Pm 2.83
S 0.7570 0.7570 0.7981  1 Er 2.76, 2 Pm 2.84
S 0.8908 0.5667 0.1999  1 Er 2.75, 2 Pm 2.83

***

Entry 2:
PmEr2Tl3S6: optimized geometry, PBE.

Fermi-level density of states = 0.00 states/eV/cell
uncorrected formation energy = -1479 meV/atom
theoretical density = 6.7 g/cm3
magnetization = 0.00 μB/cell
volume = 319.9 Å³ per cell

a b c (Å): 7.0095 7.0095 7.8715
angles (deg): 98.53 98.53 119.98
Last column: nearest neighbours and their distance in Å.
Sites, in units of the cell vectors:
Pm 0.0000 0.0000 0.0000  6 S 2.82-2.83
Er 0.3334 0.6666 0.0000  6 S 2.74-2.75
Er 0.6666 0.3334 0.0000  6 S 2.74-2.75
Tl 0.1655 0.8345 0.5000  6 S 3.22-3.28
Tl 0.5000 0.5000 0.5000  6 S 3.22-3.28
Tl 0.8345 0.1655 0.5000  6 S 3.22-3.28
S 0.0662 0.4089 0.1988  2 Er 2.75, 1 Pm 2.83
S 0.2769 0.2769 0.8030  2 Er 2.74, 1 Pm 2.82
S 0.4089 0.0662 0.1988  2 Er 2.75, 1 Pm 2.83
S 0.5911 0.9338 0.8012  2 Er 2.75, 1 Pm 2.83
S 0.7231 0.7231 0.1970  2 Er 2.74, 1 Pm 2.82
S 0.9338 0.5911 0.8012  2 Er 2.75, 1 Pm 2.83

***

Entry 3:
PmErTm2S4: optimized geometry, PBE.

Fermi-level density of states = 4.49 states/eV/cell
uncorrected formation energy = -1957 meV/atom
theoretical density = 7.7 g/cm3
magnetization = 0.00 μB/cell
volume = 167.4 Å³ per cell

a b c (Å): 6.7619 3.8481 6.7966
angles (deg): 90.00 108.84 90.00
Last column: nearest neighbours and their distance in Å.
Sites, in units of the cell vectors:
Pm 0.0000 0.0000 0.0000  6 S 2.82
Er 0.5000 0.5000 0.0000  6 S 2.77
Tm 0.0000 0.5000 0.5000  6 S 2.75
Tm 0.5000 0.0000 0.5000  6 S 2.69
S 0.2542 0.0000 0.7425  3 Tm 2.69-2.75, 2 Er 2.77, 1 Pm 2.82
S 0.2613 0.5000 0.2629  3 Tm 2.69-2.75, 1 Er 2.77, 2 Pm 2.82
S 0.7387 0.5000 0.7371  3 Tm 2.69-2.75, 1 Er 2.77, 2 Pm 2.82
S 0.7458 0.0000 0.2575  3 Tm 2.69-2.75, 2 Er 2.77, 1 Pm 2.82

***

Entry 4:
PmErTm4S8: optimized geometry, PBE.

Fermi-level density of states = 8.49 states/eV/cell
uncorrected formation energy = -1916 meV/atom
theoretical density = 5.7 g/cm3
magnetization = 0.00 μB/cell
volume = 361.4 Å³ per cell

a b c (Å): 7.9998 7.9998 7.9998
angles (deg): 59.93 59.93 59.93
Last column: nearest neighbours and their distance in Å.
Sites, in units of the cell vectors:
Pm 0.0000 0.0000 0.0000  4 S 2.67-2.68
Er 0.3752 0.3752 0.3752  6 S 2.72-2.75
Tm 0.3753 0.3753 0.8727  6 S 2.71-2.74
Tm 0.3753 0.8727 0.3753  6 S 2.71-2.74
Tm 0.7495 0.7495 0.7495  4 S 2.58-2.59
Tm 0.8727 0.3753 0.3753  6 S 2.71-2.74
S 0.1351 0.1351 0.5907  1 Pm 2.67, 2 Tm 2.71, 1 Er 2.72
S 0.1351 0.5907 0.1351  1 Pm 2.67, 2 Tm 2.71, 1 Er 2.72
S 0.1365 0.1365 0.1365  1 Pm 2.68, 3 Tm 2.71
S 0.1454 0.6185 0.6185  3 Tm 2.58-2.74, 1 Er 2.75
S 0.5907 0.1351 0.1351  1 Pm 2.67, 2 Tm 2.71, 1 Er 2.72
S 0.6175 0.6175 0.6175  4 Tm 2.59-2.74
S 0.6185 0.1454 0.6185  3 Tm 2.58-2.74, 1 Er 2.75
S 0.6185 0.6185 0.1454  3 Tm 2.58-2.74, 1 Er 2.75